Er2LuAl3CuAg2 | GGA-PBE | relaxed

Geometry as POSCAR:
```
Er2LuAl3CuAg2
1.0
-3.680 -1.385 -1.007
0.613 -5.192 4.898
-2.873 6.300 1.837
Ag Er Al Cu Lu
2 2 3 1 1
Cartesian
-3.543 1.755 2.357
-2.395 -2.032 3.365
-2.507 3.204 4.756
-1.099 -1.436 5.991
-3.583 0.162 4.690
-2.501 0.755 -0.080
-1.699 -1.885 0.623
-0.005 0.003 0.015
-0.907 0.445 2.704
```

Results
DFT total energy = -4.248 eV/atom
volume = 180.8 Å³/cell
mass density = 7.987 Mg/m³

SrGe2Ir | GGA-PBE | relaxed

Geometry as POSCAR:
```
SrGe2Ir
1.0
0.000 3.432 3.432
3.432 0.000 3.432
3.432 3.432 0.000
Sr Ge Ir
1 2 1
Cartesian
3.432 3.432 3.432
5.148 5.148 5.148
0.000 0.000 0.000
1.716 1.716 1.716
```

Results
DFT total energy = -4.794 eV/atom
volume = 80.9 Å³/cell
mass density = 8.729 Mg/m³

MgSi2Ni3 | GGA-PBE | relaxed

Geometry as POSCAR:
```
MgSi2Ni3
1.0
-0.118 3.698 -1.297
-3.365 0.570 1.931
2.830 1.649 4.446
Ni Si Mg
3 2 1
Cartesian
1.415 0.824 2.223
-0.326 2.958 2.540
0.000 0.000 0.000
0.330 1.457 4.127
0.758 2.325 0.636
-1.741 2.134 0.317
```

Results
DFT total energy = -5.057 eV/atom
volume = 84.9 Å³/cell
mass density = 5.019 Mg/m³

ZnSnSO | GGA-PBE | relaxed

Geometry as POSCAR:
```
ZnSnSO
1.0
-3.417 1.567 0.119
0.644 -3.243 1.791
3.171 6.155 10.004
S Sn O Zn
2 2 2 2
Cartesian
1.114 1.900 6.986
-1.825 0.425 1.427
0.141 0.010 3.916
0.373 4.691 8.360
1.080 2.097 3.408
2.666 5.174 8.410
1.598 3.102 5.041
0.012 0.024 0.039
```

Results
DFT total energy = -4.489 eV/atom
volume = 149.0 Å³/cell
mass density = 5.174 Mg/m³

Tb2GdMg3TlGa2 | GGA-PBE | relaxed

Geometry as POSCAR:
```
Tb2GdMg3TlGa2
1.0
-1.949 -3.552 -2.113
-4.165 -1.250 5.945
-2.411 4.487 -5.320
Mg Tl Ga Tb Gd
3 1 2 2 1
Cartesian
-4.099 -2.713 3.402
-2.617 -0.968 -0.900
-2.784 1.590 -5.046
-0.005 0.002 0.000
-4.555 -1.117 1.138
-3.969 0.800 -2.626
-5.217 0.710 3.621
-4.229 3.940 -2.723
-3.702 1.822 0.352
```

Results
DFT total energy = -3.444 eV/atom
volume = 214.5 Å³/cell
mass density = 6.904 Mg/m³

Co3Ge2 | GGA-PBE | relaxed

Geometry as POSCAR:
```
Co3Ge2
1.0
1.425 3.379 1.321
-2.174 2.129 2.435
3.988 -5.769 6.407
Ge Co
4 6
Cartesian
2.736 0.158 9.012
0.781 2.359 5.165
0.502 -0.420 1.151
2.458 -2.620 4.998
2.618 -1.253 7.048
1.519 -1.573 3.139
0.620 0.991 3.115
-0.236 3.513 3.176
1.720 1.312 7.024
3.475 -3.774 6.987
```

Results
DFT total energy = -6.152 eV/atom
volume = 124.7 Å³/cell
mass density = 8.578 Mg/m³

TaBe2Ga | GGA-PBE | relaxed

Geometry as POSCAR:
```
TaBe2Ga
1.0
0.000 2.978 2.978
2.978 0.000 2.978
2.978 2.978 0.000
Ga Be Ta
1 2 1
Cartesian
2.978 2.978 2.978
4.468 4.468 4.468
0.000 0.000 0.000
1.489 1.489 1.489
```

Results
DFT total energy = -5.151 eV/atom
volume = 52.8 Å³/cell
mass density = 8.443 Mg/m³

Pr3Cd2GaPt2Au | GGA-PBE | relaxed

Geometry as POSCAR:
```
Pr3Cd2GaPt2Au
1.0
4.055 0.000 0.000
0.000 6.753 3.846
0.000 -6.753 3.846
Ga Pt Pr Cd Au
1 2 3 2 1
Cartesian
2.027 0.000 1.974
2.027 2.182 3.784
2.027 -2.182 3.784
0.000 -2.755 1.598
0.000 2.755 1.598
0.000 0.000 4.476
2.027 1.727 6.703
2.027 -1.727 6.703
0.000 0.000 0.143
```

Results
DFT total energy = -4.659 eV/atom
volume = 210.6 Å³/cell
mass density = 10.285 Mg/m³

HoScGa2 | GGA-PBE | relaxed

Geometry as POSCAR:
```
HoScGa2
1.0
-1.980 2.950 1.750
4.606 1.270 3.070
4.537 3.371 -0.550
Ga Ho Sc
2 1 1
Cartesian
-0.250 1.851 1.079
8.441 4.285 2.326
2.294 3.142 1.780
5.822 2.956 1.604
```

Results
DFT total energy = -4.846 eV/atom
volume = 87.5 Å³/cell
mass density = 6.628 Mg/m³

NaThSn | GGA-PBE | relaxed

Geometry as POSCAR:
```
NaThSn
1.0
0.000 3.667 3.667
3.667 0.000 3.667
3.667 3.667 0.000
Sn Na Th
1 1 1
Cartesian
1.833 1.833 1.833
3.667 3.667 3.667
0.000 0.000 0.000
```

Results
DFT total energy = -4.236 eV/atom
volume = 98.6 Å³/cell
mass density = 6.294 Mg/m³

LiTePdAuSe2 | GGA-PBE | relaxed

Geometry as POSCAR:
```
LiTePdAuSe2
1.0
-6.870 -0.120 -2.353
5.405 -2.723 4.015
-2.888 6.231 8.114
Pd Se Te Li Au
2 4 2 2 2
Cartesian
-0.733 -1.422 0.831
-2.177 1.694 4.888
-8.138 5.664 6.426
-6.799 2.776 2.665
3.784 -2.277 3.349
2.445 0.611 7.111
-0.710 -0.022 3.246
-3.644 3.409 6.530
-4.912 0.869 1.066
0.558 2.518 8.710
-7.310 4.187 4.628
2.956 -0.799 5.148
```

Results
DFT total energy = -3.759 eV/atom
volume = 269.6 Å³/cell
mass density = 7.341 Mg/m³

Sm4Al4O11 | GGA-PBE | relaxed

Geometry as POSCAR:
```
Sm4Al4O11
1.0
5.284 -0.006 0.000
-0.006 5.297 0.000
0.000 0.000 7.437
O Al Sm
11 4 4
Cartesian
2.285 5.237 1.859
4.101 4.114 0.258
2.985 0.057 5.578
4.101 4.114 3.461
1.179 1.181 3.960
1.461 3.820 7.184
3.823 1.467 3.446
4.934 2.694 5.578
1.179 1.181 7.196
3.823 1.467 0.273
1.461 3.820 3.971
5.276 2.646 3.693
2.639 5.293 3.706
5.276 2.646 0.026
2.639 5.293 0.013
2.608 2.492 5.578
0.028 5.134 5.578
2.643 2.790 1.859
5.251 0.160 1.859
```

Results
DFT total energy = -7.766 eV/atom
volume = 208.1 Å³/cell
mass density = 7.063 Mg/m³